No. 1
First-principles (GGA-PBE) data for a geometry-optimized CaTiNb2 structure, as listed in Alexandria.

The structure belongs to space group I-42d (No. 122); the cell edges are 4.1227, 4.1227 and 20.2292 Å and the angles 90.00°, 90.00° and 90.00°. Symmetry generates all atoms from Ca at (0.0000, 0.0000, 0.0000), Ti at (0.0000, 0.0000, 0.5000) and Nb at (0.2273, 0.7500, 0.6250).

The value obtained for the energy above the most stable polymorph in this dataset is 195 meV/atom. Its magnetic moment is 0.0001 μB/atom. The calculation puts the density of states at the Fermi level at 0.532 states/eV per atom. For the formation energy, the calculation gives 877 meV/atom.

***

No. 2
First-principles (GGA-PBE) data for a geometry-optimized ReNi structure, as listed in Alexandria.

The structure belongs to space group I4/m (No. 87); the cell edges are 9.2594, 9.2594 and 2.5590 Å and the angles 90.00°, 90.00° and 90.00°. Symmetry generates all atoms from Re at (0.0757, 0.6717, 0.0000) and Ni at (0.1024, 0.1553, 0.5000).

Its magnetic moment is 0.0000 μB/atom. The calculation puts the density of states at the Fermi level at 0.677 states/eV per atom. For the formation energy, the calculation gives 270 meV/atom.

***

No. 3
First-principles (GGA-PBE) data for a geometry-optimized ErZnPt structure, as listed in Alexandria.

The structure belongs to space group P-6m2 (No. 187); the cell edges are 4.4335, 4.4335 and 3.4514 Å and the angles 90.00°, 90.00° and 120.00°. Symmetry generates all atoms from Er at (0.0000, 0.0000, 0.0000), Zn at (0.3333, 0.6667, 0.5000) and Pt at (0.6667, 0.3333, 0.5000).

Its magnetic moment is 0.0000 μB/atom. The calculation puts the density of states at the Fermi level at 0.769 states/eV per atom. For the formation energy, the calculation gives -882 meV/atom.

***

No. 4
First-principles (GGA-PBE) data for a geometry-optimized MgReI2N structure, as listed in Alexandria.

The structure belongs to space group P4/mmm (No. 123); the cell edges are 5.6409, 5.6409 and 3.7954 Å and the angles 90.00°, 90.00° and 90.00°. Symmetry generates all atoms from Mg at (0.0000, 0.0000, 0.0000), Re at (0.5000, 0.5000, 0.5000), I at (0.0000, 0.5000, 0.5000) and N at (0.5000, 0.5000, 0.0000).

The value obtained for the energy above the most stable polymorph in this dataset is 0 meV/atom. Its magnetic moment is 0.0000 μB/atom. The calculation puts the density of states at the Fermi level at 0.560 states/eV per atom. The energy relative to the elements, uncorrected comes out at 28 kJ/mol of atoms.

***

No. 5
First-principles (GGA-PBE) data for a geometry-optimized Sr2EuAg structure, as listed in Alexandria.

The structure belongs to space group P4/mmm (No. 123); the cell edges are 5.7051, 5.7051 and 4.7389 Å and the angles 90.00°, 90.00° and 90.00°. Symmetry generates all atoms from Sr at (0.0000, 0.5000, 0.0000), Eu at (0.0000, 0.0000, 0.5000) and Ag at (0.5000, 0.5000, 0.5000).

The value obtained for the energy above the most stable polymorph in this dataset is 138 meV/atom. Its magnetic moment is 1.8996 μB/atom. The calculation puts the density of states at the Fermi level at 0.820 states/eV per atom. For the formation energy, the calculation gives 27 meV/atom.

***

No. 6
First-principles (GGA-PBE) data for a geometry-optimized CsLaMn3 structure, as listed in Alexandria.

The structure belongs to space group Pm-3m (No. 221); the cell edges are 5.7536, 5.7536 and 5.7536 Å and the angles 90.00°, 90.00° and 90.00°. Symmetry generates all atoms from Cs at (0.0000, 0.0000, 0.0000), La at (0.5000, 0.5000, 0.5000) and Mn at (0.0000, 0.5000, 0.5000).

The value obtained for the energy above the most stable polymorph in this dataset is 0 meV/atom. Its magnetic moment is 2.3964 μB/atom. The calculation puts the density of states at the Fermi level at 0.997 states/eV per atom. For the formation energy, the calculation gives 1352 meV/atom.